Record 1
## MnZnP2 (PBE)

Data for MnZnP2 after structural relaxation.

Its crystal system is orthorhombic. For the final energy, the calculation gives -43.26 eV per cell. The value obtained for the total magnetization is 1.142 μB per formula unit. The calculation puts the formation energy at -8.8 kJ/mol of atoms. Its density of states at the Fermi level is 5.37 states/eV/cell.

It has space group Amm2 (No. 38), with a = 3.445 Å, b = 2.738 Å, c = 12.663 Å, α = 90.00°, β = 90.00° and γ = 90.00°. Symmetry generates all atoms from Mn at (0.000, 0.000, 0.000), Zn at (0.500, 0.000, 0.243), P at (0.000, 0.000, 0.644) and P at (0.500, 0.000, 0.431).

***

Record 2
## MnZnP3 (PBE)

Data for MnZnP3 after structural relaxation.

Its crystal system is cubic. The energy relative to the lowest polymorph listed for this composition comes out at 5.086 eV/f.u. For the final energy, the calculation gives -19.17 eV per cell. The value obtained for the total magnetization is 0.008 μB per formula unit. The calculation puts the formation energy at 144.8 kJ/mol of atoms. Its density of states at the Fermi level is 5.63 states/eV/cell.

It has space group Pm-3m (No. 221), with a = 4.535 Å, b = 4.535 Å, c = 4.535 Å, α = 90.00°, β = 90.00° and γ = 90.00°. Symmetry generates all atoms from Mn at (0.000, 0.000, 0.000), Zn at (0.500, 0.500, 0.500) and P at (0.000, 0.500, 0.500).

***

Record 3
## Mn2ZnP (PBE)

Data for Mn2ZnP after structural relaxation.

Its crystal system is orthorhombic. The energy relative to the lowest polymorph listed for this composition comes out at 0.571 eV/f.u. For the final energy, the calculation gives -49.92 eV per cell. The value obtained for the total magnetization is 4.915 μB per formula unit. The calculation puts the formation energy at 1.6 kJ/mol of atoms. Its density of states at the Fermi level is 5.98 states/eV/cell.

It has space group Cmmm (No. 65), with a = 5.358 Å, b = 6.739 Å, c = 2.752 Å, α = 90.00°, β = 90.00° and γ = 90.00°. Symmetry generates all atoms from Mn at (0.250, 0.250, 0.000), Zn at (0.000, 0.000, 0.500) and P at (0.000, 0.500, 0.500).

***

Record 4
## MnZnP4 (PBE)

Data for MnZnP4 after structural relaxation.

Its crystal system is cubic. For the final energy, the calculation gives -114.69 eV per cell. The value obtained for the total magnetization is 4.097 μB per formula unit. The calculation puts the formation energy at 54.8 kJ/mol of atoms. Its density of states at the Fermi level is 8.85 states/eV/cell.

It has space group F-43m (No. 216), with a = 7.168 Å, b = 7.168 Å, c = 7.168 Å, α = 90.00°, β = 90.00° and γ = 90.00°. Symmetry generates all atoms from Mn at (0.000, 0.000, 0.000), Zn at (0.250, 0.250, 0.250) and P at (0.125, 0.125, 0.625).